Record 1
MgScTaFe, optimized geometry, DFT PBE; relative energy among the computed polymorphs = 0.0381 eV/atom; energy = -27.162 eV per cell; space group = F-43m (216)
1.0
0.000 3.198 3.198
3.198 0.000 3.198
3.198 3.198 0.000
Fe Sc Ta Mg
1 1 1 1
direct
0.500 0.500 0.500 Fe
0.000 0.000 0.000 Sc
0.250 0.250 0.250 Ta
0.750 0.750 0.750 Mg

Record 2
K2PtF4, optimized geometry, DFT PBE; energy = -30.253 eV per cell; space group = P4/mmm (123)
1.0
-3.534 0.136 4.709
1.409 -5.588 1.218
2.600 1.074 1.920
F Pt K
4 1 2
direct
0.240 0.760 0.000 F
0.760 0.760 0.000 F
0.760 0.240 0.000 F
0.240 0.240 0.000 F
0.000 0.000 0.000 Pt
0.500 0.000 0.500 K
0.000 0.500 0.500 K

Record 3
AcSiHg, optimized geometry, DFT PBE; relative energy among the computed polymorphs = 0.2977 eV/atom; energy = -10.507 eV per cell; space group = F-43m (216)
1.0
0.000 3.564 3.564
3.564 0.000 3.564
3.564 3.564 0.000
Ac Si Hg
1 1 1
direct
0.250 0.250 0.250 Ac
0.000 0.000 0.000 Si
0.750 0.750 0.750 Hg

Record 4
SmAl2Ni, optimized geometry, DFT PBE; energy = -40.429 eV per cell; space group = Cmcm (63)
1.0
2.032 -5.304 0.000
2.032 5.304 0.000
0.000 0.000 6.924
Al Sm Ni
4 2 2
direct
0.335 0.665 0.556 Al
0.665 0.335 0.056 Al
0.335 0.665 0.944 Al
0.665 0.335 0.444 Al
0.057 0.943 0.750 Sm
0.943 0.057 0.250 Sm
0.782 0.218 0.750 Ni
0.218 0.782 0.250 Ni